Crystalline Ta2InGa2 at its relaxed geometry, computed with GGA-PBE.

density = 11.6 g cm⁻³
offset from the most stable computed form = 29 meV/atom
E = -6.3348 eV per atom
space-group type = P4/mbm (127)
energy relative to the elements = 0.16 eV/atom

```
Ta2InGa2
1.0
6.9240 0.0000 0.0000
0.0000 6.9240 0.0000
0.0000 0.0000 3.6801
Ta In Ga
4 2 4
direct
0.1703 0.3297 0.0000 Ta
0.3297 0.8297 0.0000 Ta
0.6703 0.1703 0.0000 Ta
0.8297 0.6703 0.0000 Ta
0.0000 0.0000 0.5000 In
0.5000 0.5000 0.5000 In
0.1268 0.6268 0.5000 Ga
0.3732 0.1268 0.5000 Ga
0.6268 0.8732 0.5000 Ga
0.8732 0.3732 0.5000 Ga
```